No. 1
A geometry-optimized SrZn5 structure, computed with PBE.

## Properties
Space-group type   Cmmm
Density of states at the Fermi level   2.123 states/eV/f.u.
Crystal system   orthorhombic

Cell and atoms, written as POSCAR:
```
SrZn5
1.0
2.589 -5.051 0.000
2.589 5.051 0.000
0.000 0.000 4.649
Sr Zn
1 5
Cartesian
0.000 0.000 0.000
2.589 2.756 2.325
2.589 1.723 0.000
2.589 0.000 2.325
2.589 -1.723 0.000
2.589 -2.756 2.325
```


No. 2
A geometry-optimized Sr3Zn structure, computed with PBE.

## Properties
Space-group type   Pm-3m
Density of states at the Fermi level   6.870 states/eV/f.u.
Crystal system   cubic

Cell and atoms, written as POSCAR:
```
Sr3Zn
1.0
5.500 0.000 0.000
0.000 5.500 0.000
0.000 0.000 5.500
Sr Zn
3 1
Cartesian
0.000 0.000 2.750
0.000 2.750 0.000
2.750 0.000 0.000
2.750 2.750 2.750
```


No. 3
A geometry-optimized SrZn2 structure, computed with PBE.

## Properties
Space-group type   I4/mmm
Density of states at the Fermi level   1.681 states/eV/f.u.
Crystal system   tetragonal

Cell and atoms, written as POSCAR:
```
SrZn2
1.0
-1.857 1.857 5.372
1.857 -1.857 5.372
1.857 1.857 -5.372
Sr Zn
1 2
Cartesian
0.000 0.000 0.000
0.000 0.000 3.235
0.000 0.000 7.509
```


No. 4
A geometry-optimized SrZn3 structure, computed with PBE.

## Properties
Space-group type   P4mm
Density of states at the Fermi level   2.155 states/eV/f.u.
Crystal system   tetragonal

Cell and atoms, written as POSCAR:
```
SrZn3
1.0
4.193 0.000 0.000
0.000 4.193 0.000
0.000 0.000 5.566
Sr Zn
1 3
Cartesian
0.000 0.000 0.000
0.000 2.097 2.679
2.097 0.000 2.679
2.097 2.097 4.148
```


No. 5
A geometry-optimized Sr3Zn2 structure, computed with PBE.

## Properties
Space-group type   R-3c
Density of states at the Fermi level   5.490 states/eV/f.u.
Crystal system   trigonal

Cell and atoms, written as POSCAR:
```
Sr3Zn2
1.0
3.972 2.293 6.986
-3.972 2.293 6.986
0.000 -4.586 6.986
Sr Zn
6 4
Cartesian
-2.437 0.365 8.733
-1.535 -1.928 12.226
0.903 -2.293 8.733
-0.903 2.293 12.226
1.535 1.928 8.733
2.437 -0.365 12.226
0.000 0.000 3.978
0.000 0.000 6.502
0.000 0.000 14.457
0.000 0.000 16.981
```


No. 6
A geometry-optimized SrZn2 structure, computed with PBE.

## Properties
Space-group type   Cmcm
Density of states at the Fermi level   1.390 states/eV/f.u.
Crystal system   orthorhombic

Cell and atoms, written as POSCAR:
```
SrZn2
1.0
2.104 -7.145 0.000
2.104 7.145 0.000
0.000 0.000 4.943
Sr Zn
2 4
Cartesian
2.104 5.847 3.708
2.104 -5.847 1.236
2.104 3.704 1.236
2.104 1.922 3.708
2.104 -1.922 1.236
2.104 -3.704 3.708
```


No. 7
A geometry-optimized SrZn structure, computed with PBE.

## Properties
Space-group type   P4/mmm
Density of states at the Fermi level   2.008 states/eV/f.u.
Crystal system   tetragonal

Cell and atoms, written as POSCAR:
```
SrZn
1.0
11.661 0.000 0.000
0.000 11.661 0.000
0.000 0.000 4.549
Sr Zn
8 8
Cartesian
0.000 3.580 0.000
0.000 8.081 0.000
3.580 0.000 0.000
3.783 3.783 2.274
3.783 7.878 2.274
7.878 3.783 2.274
7.878 7.878 2.274
8.081 0.000 0.000
1.253 5.830 2.274
2.437 5.830 0.000
5.830 1.253 2.274
5.830 2.437 0.000
5.830 9.224 0.000
5.830 10.408 2.274
9.224 5.830 0.000
10.408 5.830 2.274
```


No. 8
A geometry-optimized SrZn structure, computed with PBE.

## Properties
Space-group type   P-3m1
Density of states at the Fermi level   1.412 states/eV/f.u.
Crystal system   trigonal

Cell and atoms, written as POSCAR:
```
SrZn
1.0
4.222 0.000 0.000
-2.111 3.656 0.000
0.000 0.000 9.287
Sr Zn
2 2
Cartesian
0.000 2.437 1.822
2.111 1.219 7.465
0.000 2.437 5.152
2.111 1.219 4.135
```


No. 9
A geometry-optimized Sr3Zn structure, computed with PBE.

## Properties
Space-group type   I4/mmm
Density of states at the Fermi level   5.574 states/eV/f.u.
Crystal system   tetragonal

Cell and atoms, written as POSCAR:
```
Sr3Zn
1.0
-2.691 2.691 5.801
2.691 -2.691 5.801
2.691 2.691 -5.801
Sr Zn
3 1
Cartesian
0.000 0.000 0.000
2.691 0.000 2.900
0.000 2.691 2.900
0.000 0.000 5.801
```


No. 10
A geometry-optimized SrZr3Zn structure, computed with PBE.

## Properties
Space-group type   Pm-3m
Density of states at the Fermi level   8.461 states/eV/f.u.
Crystal system   cubic

Cell and atoms, written as POSCAR:
```
SrZr3Zn
1.0
5.204 0.000 0.000
0.000 5.204 0.000
0.000 0.000 5.204
Sr Zr Zn
1 3 1
Cartesian
0.000 0.000 0.000
0.000 2.602 2.602
2.602 0.000 2.602
2.602 2.602 0.000
2.602 2.602 2.602
```


No. 11
A geometry-optimized SrZrZn structure, computed with PBE.

## Properties
Space-group type   F-43m
Density of states at the Fermi level   2.446 states/eV/f.u.
Crystal system   cubic

Cell and atoms, written as POSCAR:
```
SrZrZn
1.0
0.000 3.534 3.534
3.534 0.000 3.534
3.534 3.534 0.000
Sr Zr Zn
1 1 1
Cartesian
0.000 0.000 0.000
5.301 5.301 5.301
1.767 1.767 1.767
```


No. 12
A geometry-optimized SrZrZn structure, computed with PBE.

## Properties
Space-group type   P-6m2
Density of states at the Fermi level   4.107 states/eV/f.u.
Crystal system   hexagonal

Cell and atoms, written as POSCAR:
```
SrZrZn
1.0
5.013 0.000 0.000
-2.507 4.341 0.000
0.000 0.000 3.781
Sr Zr Zn
1 1 1
Cartesian
0.000 0.000 0.000
0.000 2.894 1.891
2.507 1.447 1.891
```


No. 13
A geometry-optimized SrZrZn structure, computed with PBE.

## Properties
Space-group type   P1
Density of states at the Fermi level   3.620 states/eV/f.u.
Crystal system   triclinic

Cell and atoms, written as POSCAR:
```
SrZrZn
1.0
3.438 0.000 0.000
1.718 5.403 0.000
1.706 2.194 8.747
Sr Zr Zn
2 2 2
Cartesian
0.000 0.000 0.000
3.437 4.891 6.490
3.436 5.860 3.091
3.436 2.817 1.972
1.718 3.579 4.054
3.437 1.862 5.110
```


No. 14
A geometry-optimized SrZrZn structure, computed with PBE.

## Properties
Space-group type   F-43m
Density of states at the Fermi level   5.032 states/eV/f.u.
Crystal system   cubic

Cell and atoms, written as POSCAR:
```
SrZrZn
1.0
0.000 3.535 3.535
3.535 0.000 3.535
3.535 3.535 0.000
Sr Zr Zn
1 1 1
Cartesian
0.000 0.000 0.000
3.535 3.535 3.535
5.302 5.302 5.302
```


No. 15
A geometry-optimized SrZr3Zn structure, computed with PBE.

## Properties
Space-group type   Pm-3m
Density of states at the Fermi level   8.941 states/eV/f.u.
Crystal system   cubic

Cell and atoms, written as POSCAR:
```
SrZr3Zn
1.0
5.158 0.000 0.000
0.000 5.158 0.000
0.000 0.000 5.158
Sr Zr Zn
1 3 1
Cartesian
0.000 0.000 0.000
0.000 0.000 2.579
0.000 2.579 0.000
2.579 0.000 0.000
2.579 2.579 2.579
```


No. 16
A geometry-optimized SrZrZn structure, computed with PBE.

## Properties
Space-group type   Cm
Density of states at the Fermi level   3.118 states/eV/f.u.
Crystal system   monoclinic

Cell and atoms, written as POSCAR:
```
SrZrZn
1.0
9.044 -2.525 0.000
9.044 2.525 0.000
-0.002 0.000 3.580
Sr Zr Zn
2 2 2
Cartesian
0.000 0.000 0.000
11.763 0.000 3.575
5.365 0.000 3.578
14.973 0.000 1.788
3.168 0.000 1.786
7.673 0.000 1.790
```


No. 17
A geometry-optimized SrZrZn structure, computed with PBE.

## Properties
Space-group type   P3m1
Density of states at the Fermi level   2.995 states/eV/f.u.
Crystal system   trigonal

Cell and atoms, written as POSCAR:
```
SrZrZn
1.0
3.552 0.000 0.000
-1.776 3.076 0.000
0.000 0.000 7.522
Sr Zr Zn
1 1 1
Cartesian
0.000 0.000 0.000
0.000 2.051 4.498
1.776 1.025 2.534
```


No. 18
A geometry-optimized SrZrZn structure, computed with PBE.

## Properties
Space-group type   I4mm
Density of states at the Fermi level   1.981 states/eV/f.u.
Crystal system   tetragonal

Cell and atoms, written as POSCAR:
```
SrZrZn
1.0
-1.763 1.763 6.503
1.763 -1.763 6.503
1.763 1.763 -6.503
Sr Zr Zn
1 1 1
Cartesian
0.000 0.000 0.000
0.000 0.000 3.650
0.000 0.000 8.835
```


No. 19
A geometry-optimized SrZrZn structure, computed with PBE.

## Properties
Space-group type   P4/nmm
Density of states at the Fermi level   2.634 states/eV/f.u.
Crystal system   tetragonal

Cell and atoms, written as POSCAR:
```
SrZrZn
1.0
4.692 0.000 0.000
0.000 4.692 0.000
0.000 0.000 7.675
Sr Zr Zn
2 2 2
Cartesian
1.173 1.173 1.127
3.519 3.519 6.548
1.173 3.519 3.837
3.519 1.173 3.837
1.173 1.173 5.435
3.519 3.519 2.240
```


No. 20
A geometry-optimized SrZr2 structure, computed with PBE.

## Properties
Space-group type   P6_3/mmc
Density of states at the Fermi level   5.046 states/eV/f.u.
Crystal system   hexagonal

Cell and atoms, written as POSCAR:
```
SrZr2
1.0
6.405 0.000 0.000
-3.202 5.546 0.000
0.000 0.000 10.486
Sr Zr
4 8
Cartesian
0.000 3.698 0.647
0.000 3.698 4.596
3.202 1.849 5.890
3.202 1.849 9.838
0.000 0.000 0.000
0.000 0.000 5.243
0.000 1.687 7.864
-1.742 4.703 7.864
1.461 0.843 2.621
1.742 4.703 7.864
4.944 0.843 2.621
3.202 3.860 2.621
```


Number 1: total moment 0.00 μB/atom, formation energy from the elements -0.029 eV/atom, energy -0.0504 hartree per atom. Number 2: total moment 0.00 μB/atom, formation energy from the elements 0.089 eV/atom, energy -0.0548 hartree per atom. Number 3: total moment 0.00 μB/atom, formation energy from the elements -0.097 eV/atom, energy -0.0554 hartree per atom. Number 4: total moment 0.00 μB/atom, formation energy from the elements -0.057 eV/atom, energy -0.0527 hartree per atom. Number 5: total moment 0.00 μB/atom, formation energy from the elements -0.104 eV/atom, energy -0.0596 hartree per atom. Number 6: total moment 0.00 μB/atom, formation energy from the elements -0.141 eV/atom, energy -0.0570 hartree per atom. Number 7: total moment 0.00 μB/atom, formation energy from the elements -0.107 eV/atom, energy -0.0582 hartree per atom. Number 8: total moment 0.00 μB/atom, formation energy from the elements -0.005 eV/atom, energy -0.0545 hartree per atom. Number 9: total moment 0.00 μB/atom, formation energy from the elements 0.114 eV/atom, energy -0.0539 hartree per atom. Number 10: total moment 0.28 μB/atom, formation energy from the elements 0.599 eV/atom, energy -0.1882 hartree per atom. Number 11: total moment 0.00 μB/atom, formation energy from the elements 1.223 eV/atom, energy -0.0960 hartree per atom. Number 12: total moment 0.18 μB/atom, formation energy from the elements 0.359 eV/atom, energy -0.1277 hartree per atom. Number 13: total moment 0.00 μB/atom, formation energy from the elements 0.110 eV/atom, energy -0.1369 hartree per atom. Number 14: total moment 0.19 μB/atom, formation energy from the elements 0.548 eV/atom, energy -0.1208 hartree per atom. Number 15: total moment 0.00 μB/atom, formation energy from the elements 1.872 eV/atom, energy -0.1414 hartree per atom. Number 16: total moment 0.00 μB/atom, formation energy from the elements 0.060 eV/atom, energy -0.1387 hartree per atom. Number 17: total moment 0.00 μB/atom, formation energy from the elements 0.310 eV/atom, energy -0.1295 hartree per atom. Number 18: total moment 0.00 μB/atom, formation energy from the elements 0.092 eV/atom, energy -0.1375 hartree per atom. Number 19: total moment 0.00 μB/atom, formation energy from the elements -0.012 eV/atom, energy -0.1414 hartree per atom. Number 20: total moment 0.23 μB/atom, formation energy from the elements 0.449 eV/atom, energy -0.2135 hartree per atom.